(1)
Crystalline Ce6Ga2Pb at its relaxed geometry, computed with PBE.

Geometry as CIF:
```
data_Ce6Ga2Pb
_chemical_formula_sum 'Ce12 Ga4 Pb2'
_space_group_name_H-M_alt 'I m m m'
_space_group_IT_number 71
_space_group_name_Hall '-I 2 2'
_cell_length_a 3.955
_cell_length_b 7.667
_cell_length_c 15.969
_cell_angle_alpha 90.00
_cell_angle_beta 90.00
_cell_angle_gamma 90.00
loop_
_atom_site_label
_atom_site_fract_x
_atom_site_fract_y
_atom_site_fract_z
Ce1 0.000 0.173 0.000
Ce2 0.000 0.282 0.190
Ga1 0.000 0.500 0.368
Pb1 0.000 0.000 0.500
```

Summary:
Calculated volume = 484.26 Å³ per cell
Formation enthalpy at 0 K = -0.100 eV per atom
Energy above the most stable polymorph in this dataset = 0.136 eV/atom

***

(2)
Crystalline YAgP2 at its relaxed geometry, computed with PBE.

Geometry as CIF:
```
data_YAgP2
_chemical_formula_sum 'Y1 Ag1 P2'
_space_group_name_H-M_alt 'P 4/m m m'
_space_group_IT_number 123
_space_group_name_Hall '-P 4 2'
_cell_length_a 4.524
_cell_length_b 4.524
_cell_length_c 3.658
_cell_angle_alpha 90.00
_cell_angle_beta 90.00
_cell_angle_gamma 90.00
loop_
_atom_site_label
_atom_site_fract_x
_atom_site_fract_y
_atom_site_fract_z
Y1 0.000 0.000 0.000
Ag1 0.500 0.500 0.000
P1 0.000 0.500 0.500
```

Summary:
Calculated volume = 74.84 Å³ per cell
Formation enthalpy at 0 K = -0.467 eV per atom

***

(3)
Crystalline KRbPd at its relaxed geometry, computed with PBE.

Geometry as CIF:
```
data_KRbPd
_chemical_formula_sum 'K1 Rb1 Pd1'
_space_group_name_H-M_alt 'P 3 m 1'
_space_group_IT_number 156
_space_group_name_Hall 'P 3 -2"'
_cell_length_a 5.2492
_cell_length_b 5.2492
_cell_length_c 5.3926
_cell_angle_alpha 90.00
_cell_angle_beta 90.00
_cell_angle_gamma 120.00
loop_
_atom_site_label
_atom_site_fract_x
_atom_site_fract_y
_atom_site_fract_z
K1 0.0000 0.0000 0.0000
Rb1 0.3333 0.6667 0.5077
Pd1 0.6667 0.3333 0.1944
```

Summary:
Calculated volume = 128.68 Å³ per cell
Formation enthalpy at 0 K = 0.172 eV per atom
Energy above the most stable polymorph in this dataset = 0.140 eV/atom

***

(4)
Crystalline Eu2TlHg at its relaxed geometry, computed with PBE.

Geometry as CIF:
```
data_Eu2TlHg
_chemical_formula_sum 'Eu8 Tl4 Hg4'
_space_group_name_H-M_alt 'F m -3 m'
_space_group_IT_number 225
_space_group_name_Hall '-F 4 2 3'
_cell_length_a 7.881
_cell_length_b 7.881
_cell_length_c 7.881
_cell_angle_alpha 90.00
_cell_angle_beta 90.00
_cell_angle_gamma 90.00
loop_
_atom_site_label
_atom_site_fract_x
_atom_site_fract_y
_atom_site_fract_z
Eu1 0.250 0.250 0.250
Tl1 0.000 0.000 0.000
Hg1 0.000 0.000 0.500
```

Summary:
Calculated volume = 489.56 Å³ per cell
Formation enthalpy at 0 K = -0.489 eV per atom

***

(5)
Crystalline Tc3SnN at its relaxed geometry, computed with PBE.

Geometry as CIF:
```
data_Tc3SnN
_chemical_formula_sum 'Tc12 Sn4 N4'
_space_group_name_H-M_alt 'C 1 2 1'
_space_group_IT_number 5
_space_group_name_Hall 'C 2y'
_cell_length_a 10.074
_cell_length_b 4.600
_cell_length_c 6.848
_cell_angle_alpha 90.00
_cell_angle_beta 110.66
_cell_angle_gamma 90.00
loop_
_atom_site_label
_atom_site_fract_x
_atom_site_fract_y
_atom_site_fract_z
Tc1 0.008 0.000 0.248
Tc2 0.230 0.833 0.583
Tc3 0.232 0.830 0.132
Sn1 0.000 0.457 0.500
Sn2 0.000 0.467 0.000
N1 0.201 0.920 0.841
```

Summary:
E_form (uncorrected) = 142 meV/atom
Calculated volume = 296.94 Å³ per cell
Energy above the most stable polymorph in this dataset = 0.099 eV/atom

***

(6)
Crystalline In2Ga2As at its relaxed geometry, computed with PBE.

Geometry as CIF:
```
data_In2Ga2As
_chemical_formula_sum 'In4 Ga4 As2'
_space_group_name_H-M_alt 'P 4/m b m'
_space_group_IT_number 127
_space_group_name_Hall '-P 4 2ab'
_cell_length_a 7.016
_cell_length_b 7.016
_cell_length_c 4.800
_cell_angle_alpha 90.00
_cell_angle_beta 90.00
_cell_angle_gamma 90.00
loop_
_atom_site_label
_atom_site_fract_x
_atom_site_fract_y
_atom_site_fract_z
In1 0.177 0.323 0.000
Ga1 0.135 0.635 0.500
As1 0.000 0.000 0.500
```

Summary:
Calculated volume = 236.25 Å³ per cell
Formation enthalpy at 0 K = 0.061 eV per atom
Energy above the most stable polymorph in this dataset = 0.000 eV/atom

***

(7)
Crystalline CsNdB2O6 at its relaxed geometry, computed with PBE.

Geometry as CIF:
```
data_CsNdB2O6
_chemical_formula_sum 'Cs4 Nd4 B8 O24'
_space_group_name_H-M_alt 'C 1 2/c 1'
_space_group_IT_number 15
_space_group_name_Hall '-C 2yc'
_cell_length_a 9.577
_cell_length_b 10.441
_cell_length_c 7.954
_cell_angle_alpha 90.00
_cell_angle_beta 111.93
_cell_angle_gamma 90.00
loop_
_atom_site_label
_atom_site_fract_x
_atom_site_fract_y
_atom_site_fract_z
Cs1 0.000 0.118 0.250
Nd1 0.000 0.331 0.750
B1 0.217 0.399 0.214
O1 0.108 0.339 0.072
O2 0.149 0.162 0.702
O3 0.188 0.482 0.763
```

Summary:
E_form (uncorrected) = -2266 meV/atom
Calculated volume = 737.82 Å³ per cell

***

(8)
Crystalline CdIF at its relaxed geometry, computed with PBE.

Geometry as CIF:
```
data_CdIF
_chemical_formula_sum 'Cd2 I2 F2'
_space_group_name_H-M_alt 'P 1 21/m 1'
_space_group_IT_number 11
_space_group_name_Hall '-P 2yb'
_cell_length_a 6.422
_cell_length_b 4.044
_cell_length_c 7.220
_cell_angle_alpha 90.00
_cell_angle_beta 109.22
_cell_angle_gamma 90.00
loop_
_atom_site_label
_atom_site_fract_x
_atom_site_fract_y
_atom_site_fract_z
Cd1 0.233 0.250 0.490
I1 0.329 0.750 0.218
F1 0.137 0.750 0.614
```

Summary:
E_form (uncorrected) = -1360 meV/atom
Calculated volume = 177.08 Å³ per cell
Energy above the most stable polymorph in this dataset = 0.001 eV/atom